[1]
Below is CsMnHgCl6 after structural relaxation, with properties calculated at the PBE level.

Properties
Crystal system   orthorhombic
E   -3.4323 eV/atom
Total magnetic moment   8.00 μB per cell
Space-group type   Imma

Lattice parameters (Å, degrees): 9.197 9.197 9.197 120.71 117.57 91.52
Sites, in units of the cell vectors:
1 Cs 0.416 0.166 0.250
2 Cs 0.584 0.834 0.750
3 Mn 0.000 0.500 0.500
4 Mn 0.500 0.500 0.000
5 Hg 0.000 0.000 0.500
6 Hg 0.000 0.500 0.000
7 Cl 0.098 0.848 0.250
8 Cl 0.116 0.445 0.303
9 Cl 0.116 0.813 0.671
10 Cl 0.276 0.526 0.750
11 Cl 0.358 0.187 0.803
12 Cl 0.358 0.555 0.171
13 Cl 0.642 0.445 0.829
14 Cl 0.642 0.813 0.197
15 Cl 0.724 0.474 0.250
16 Cl 0.884 0.187 0.329
17 Cl 0.884 0.555 0.697
18 Cl 0.902 0.152 0.750

***

[2]
Below is LiEr2Co after structural relaxation, with properties calculated at the PBE level.

Properties
Distance to the lowest polymorph of the same formula   82.8 meV/atom
Crystal system   trigonal
Total magnetic moment   0.00 μB per cell
Space-group type   R3m

Lattice parameters (Å, degrees): 8.409 8.409 8.409 26.11 26.11 26.11
Sites, in units of the cell vectors:
1 Li 0.000 0.000 0.000
2 Er 0.556 0.556 0.556
3 Er 0.772 0.772 0.772
4 Co 0.164 0.164 0.164

***

[3]
Below is HgWSe2 after structural relaxation, with properties calculated at the PBE level.

Properties
Crystal system   monoclinic
E   -4.6243 eV/atom
Total magnetic moment   0.00 μB per cell
Space-group type   Pm

Lattice parameters (Å, degrees): 3.585 5.003 4.920 90.00 111.34 90.00
Sites, in units of the cell vectors:
1 Hg 0.000 0.000 0.000
2 W 0.628 0.500 0.260
3 Se 0.328 0.500 0.661
4 Se 0.716 0.000 0.434

***

[4]
Below is Zr3Te after structural relaxation, with properties calculated at the PBE level.

Properties
Crystal system   tetragonal
E   -7.6125 eV/atom
Total magnetic moment   0.00 μB per cell
Space-group type   P4/mmm

Lattice parameters (Å, degrees): 3.750 3.750 6.435 90.00 90.00 90.00
Sites, in units of the cell vectors:
1 Zr 0.000 0.000 0.000
2 Zr 0.500 0.500 0.256
3 Zr 0.500 0.500 0.744
4 Te 0.000 0.000 0.500

***

[5]
Below is AlCdGe after structural relaxation, with properties calculated at the PBE level.

Properties
Distance to the lowest polymorph of the same formula   0.0 meV/atom
Crystal system   triclinic
Total magnetic moment   0.00 μB per cell
Space-group type   P-1

Lattice parameters (Å, degrees): 4.040 4.077 9.387 88.38 77.72 89.98
Sites, in units of the cell vectors:
1 Al 0.246 0.246 0.008
2 Al 0.754 0.754 0.992
3 Cd 0.443 0.240 0.611
4 Cd 0.557 0.760 0.389
5 Ge 0.162 0.733 0.177
6 Ge 0.838 0.267 0.823

***

[6]
Below is CaMgBeN2 after structural relaxation, with properties calculated at the PBE level.

Properties
Crystal system   monoclinic
E   -5.5882 eV/atom
Total magnetic moment   0.00 μB per cell
Space-group type   P2/c

Lattice parameters (Å, degrees): 5.404 4.248 5.918 90.00 98.55 90.00
Sites, in units of the cell vectors:
1 Ca 0.000 0.158 0.250
2 Ca 0.000 0.842 0.750
3 Mg 0.500 0.483 0.750
4 Mg 0.500 0.517 0.250
5 Be 0.500 0.000 0.000
6 Be 0.500 0.000 0.500
7 N 0.288 0.243 0.976
8 N 0.288 0.757 0.476
9 N 0.712 0.243 0.524
10 N 0.712 0.757 0.024

***

[7]
Below is LaAg2Pd6 after structural relaxation, with properties calculated at the PBE level.

Properties
Crystal system   trigonal
E   -4.8237 eV/atom
Total magnetic moment   0.00 μB per cell
Space-group type   P-31m

Lattice parameters (Å, degrees): 4.770 4.770 9.355 90.00 90.00 120.00
Sites, in units of the cell vectors:
1 La 0.000 0.000 0.000
2 Ag 0.333 0.667 0.500
3 Ag 0.667 0.333 0.500
4 Pd 0.000 0.338 0.751
5 Pd 0.000 0.662 0.249
6 Pd 0.338 0.000 0.751
7 Pd 0.338 0.338 0.249
8 Pd 0.662 0.000 0.249
9 Pd 0.662 0.662 0.751

***

[8]
Below is BeZnTc2 after structural relaxation, with properties calculated at the PBE level.

Properties
Distance to the lowest polymorph of the same formula   61.8 meV/atom
Crystal system   orthorhombic
Total magnetic moment   0.00 μB per cell
Space-group type   Imm2

Lattice parameters (Å, degrees): 4.728 4.728 4.728 141.81 127.84 66.46
Sites, in units of the cell vectors:
1 Be 0.000 0.000 0.000
2 Zn 0.780 0.280 0.500
3 Tc 0.237 0.737 0.500
4 Tc 0.509 0.509 0.000

***

[9]
Below is BeZnPd3 after structural relaxation, with properties calculated at the PBE level.

Properties
Distance to the lowest polymorph of the same formula   0.0 meV/atom
Crystal system   monoclinic
Total magnetic moment   0.00 μB per cell
Space-group type   P2_1/c

Lattice parameters (Å, degrees): 6.625 4.739 8.845 90.00 91.22 90.00
Sites, in units of the cell vectors:
1 Be 0.055 0.153 0.410
2 Be 0.055 0.347 0.910
3 Be 0.945 0.653 0.090
4 Be 0.945 0.847 0.590
5 Zn 0.359 0.567 0.783
6 Zn 0.359 0.933 0.283
7 Zn 0.641 0.067 0.717
8 Zn 0.641 0.433 0.217
9 Pd 0.027 0.143 0.151
10 Pd 0.027 0.357 0.651
11 Pd 0.290 0.578 0.075
12 Pd 0.290 0.922 0.575
13 Pd 0.347 0.080 0.905
14 Pd 0.347 0.420 0.405
15 Pd 0.653 0.580 0.595
16 Pd 0.653 0.920 0.095
17 Pd 0.710 0.078 0.425
18 Pd 0.710 0.422 0.925
19 Pd 0.973 0.643 0.349
20 Pd 0.973 0.857 0.849

***

[10]
Below is Tl3Cl after structural relaxation, with properties calculated at the PBE level.

Properties
Distance to the lowest polymorph of the same formula   24.6 meV/atom
Crystal system   orthorhombic
Total magnetic moment   0.00 μB per cell
Space-group type   Pmm2

Lattice parameters (Å, degrees): 3.823 5.758 5.460 90.00 90.00 90.00
Sites, in units of the cell vectors:
1 Tl 0.000 0.000 0.000
2 Tl 0.000 0.500 0.499
3 Tl 0.500 0.000 0.500
4 Cl 0.500 0.500 0.999

***

[11]
Below is K2ScAu after structural relaxation, with properties calculated at the PBE level.

Properties
Distance to the lowest polymorph of the same formula   498.7 meV/atom
Crystal system   orthorhombic
Total magnetic moment   0.77 μB per cell
Space-group type   Cmmm

Lattice parameters (Å, degrees): 6.373 6.373 3.861 90.00 90.00 122.53
Sites, in units of the cell vectors:
1 K 0.000 0.500 0.000
2 K 0.500 0.000 0.000
3 Sc 0.000 0.000 0.500
4 Au 0.500 0.500 0.500

***

[12]
Below is CaNi2Hg after structural relaxation, with properties calculated at the PBE level.

Properties
Distance to the lowest polymorph of the same formula   62.1 meV/atom
Crystal system   monoclinic
Total magnetic moment   0.00 μB per cell
Space-group type   Pm

Lattice parameters (Å, degrees): 3.940 3.926 5.191 90.00 112.08 90.00
Sites, in units of the cell vectors:
1 Ca 0.000 0.000 0.000
2 Ni 0.590 0.500 0.181
3 Ni 0.712 0.000 0.430
4 Hg 0.298 0.500 0.599